# GGA-PBE KBaSb2, relaxed
data_KBaSb2
_cell_length_a 6.725
_cell_length_b 6.725
_cell_length_c 6.725
_cell_angle_alpha 136.00
_cell_angle_beta 136.00
_cell_angle_gamma 63.98
_space_group_name_H-M_alt 'P 1'
_space_group_IT_number 1
_space_group_name_Hall 'P 1'
loop_
_atom_site_label
_atom_site_fract_x
_atom_site_fract_y
_atom_site_fract_z
Sb1 0.250 0.750 0.500
Sb2 0.000 0.000 0.000
K1 0.750 0.250 0.500
Ba1 0.500 0.500 0.000
# E_form (uncorrected) in eV per atom: -0.403
# Relative energy among the computed polymorphs in eV/f.u.: 0.98
# Total magnetization in μB per formula unit: 0.0
# Raw total energy in eV per cell: -12.88